The following is a DFT calculation (PBE with a Hubbard U) of SrVCu2F8 after structural relaxation.

a b c (Å): 5.337 5.337 6.647
angles (deg): 113.67 113.67 90.00
Sites, in units of the cell vectors:
V  0.000  0.000  0.000
F  0.003  0.367  0.307
F  0.146  0.634  0.858
F  0.776  0.854  0.142
F  0.633  0.697  0.693
F  0.060  0.997  0.693
F  0.712  0.224  0.858
F  0.303  0.940  0.307
F  0.366  0.288  0.142
Cu  0.250  0.750  0.500
Cu  0.500  0.500  0.000
Sr  0.750  0.250  0.500

Summary:
Raw total energy   -5.1033 eV per atom